[1]
Entry from the Open Quantum Materials Database: a relaxed structure of AcTaB (GGA-PBE).

- Offset from the most stable computed form: 0.0 meV per atom
- VASP energy: -20.0 eV for the cell shown
- Crystal system: cubic
- Space group: F-43m (216)
- M_tot: 0.0 μB/cell

Lattice parameters (Å, degrees): 4.476 4.476 4.476 60.00 60.00 60.00
Fractional positions:
Ac (0.000, 0.000, 0.000)
Ta (0.500, 0.500, 0.500)
B (0.250, 0.250, 0.250)

***

[2]
Entry from the Open Quantum Materials Database: a relaxed structure of HfB (GGA-PBE).

- VASP energy: -15.5 eV for the cell shown
- Crystal system: cubic
- Space group: F-43m (216)
- M_tot: 0.0 μB/cell

Lattice parameters (Å, degrees): 3.704 3.704 3.704 60.00 60.00 60.00
Fractional positions:
Hf (0.000, 0.000, 0.000)
B (0.250, 0.250, 0.250)